First-principles (PBE) data for Ga2As2Br after structural relaxation, as listed in Alexandria.

Summary:
Space group ... I4/mmm (139)
Formation energy without anion corrections ... -217 meV/atom
Energy above the lowest structure with this stoichiometry ... 0 meV/atom
D(E_F) ... 0.161 states/eV per atom

a = 4.924 Å, b = 4.924 Å, c = 5.690 Å
α = 64.37°, β = 64.37°, γ = 90.00°
Atoms (fractional coordinates):
As (0.362, 0.362, 0.276)
As (0.638, 0.638, 0.724)
Br (0.000, 0.000, 0.000)
Ga (0.750, 0.250, 0.500)
Ga (0.250, 0.750, 0.500)

First-principles (PBE) data for Ho3Hg5Pb after structural relaxation, as listed in Alexandria.

Summary:
Space group ... P6_3/mcm (193)
Formation enthalpy at 0 K ... -3.37 eV/f.u.
D(E_F) ... 0.591 states/eV per atom

a = 6.419 Å, b = 9.001 Å, c = 9.000 Å
α = 120.00°, β = 90.00°, γ = 90.00°
Atoms (fractional coordinates):
Pb (0.500, 0.000, 0.000)
Pb (0.000, 0.000, 0.000)
Ho (0.750, 0.339, 0.339)
Ho (0.250, 0.661, 0.661)
Ho (0.750, 0.661, 0.000)
Ho (0.750, 0.000, 0.661)
Ho (0.250, 0.339, 0.000)
Ho (0.250, 0.000, 0.339)
Hg (0.250, 0.665, 0.000)
Hg (0.500, 0.333, 0.667)
Hg (0.000, 0.333, 0.667)
Hg (0.750, 0.665, 0.665)
Hg (0.750, 0.335, 0.000)
Hg (0.250, 0.335, 0.335)
Hg (0.250, 0.000, 0.665)
Hg (0.750, 0.000, 0.335)
Hg (0.500, 0.667, 0.333)
Hg (0.000, 0.667, 0.333)

First-principles (PBE) data for AcBi6O8 after structural relaxation, as listed in Alexandria.

Summary:
Space group ... R-3m (166)
Formation energy without anion corrections ... -1162 meV/atom
D(E_F) ... 0.787 states/eV per atom

a = 7.969 Å, b = 7.969 Å, c = 8.395 Å
α = 61.66°, β = 61.66°, γ = 60.00°
Atoms (fractional coordinates):
Bi (0.894, 0.442, 0.222)
Bi (0.557, 0.106, 0.778)
Bi (0.106, 0.558, 0.778)
Bi (0.558, 0.557, 0.778)
Bi (0.443, 0.894, 0.222)
Bi (0.442, 0.443, 0.222)
O (0.265, 0.783, 0.170)
O (0.783, 0.782, 0.170)
O (0.735, 0.217, 0.830)
O (0.782, 0.265, 0.170)
O (0.434, 0.434, 0.697)
O (0.566, 0.566, 0.303)
O (0.217, 0.218, 0.830)
O (0.218, 0.735, 0.830)
Ac (0.000, 0.000, 0.000)